1.
AcPr6Y2 | Alexandria | PBE-GGA | relaxed; calculated formation energy = 0.1782 eV/atom; D(E_F) = 1.727 states/eV per atom; space-group type = C2/m (12); total magnetic moment = 0.00 μB/f.u.; energy above the most stable polymorph in this dataset = 1.065 eV per formula unit
1.0
3.480 0.001 -0.697
-0.978 9.444 -4.867
0.342 -0.616 10.430
Pr Y Ac
6 2 1
direct
0.169 0.973 0.336
0.831 0.027 0.664
0.831 0.637 0.664
0.500 0.317 0.000
0.500 0.683 0.000
0.169 0.363 0.336
0.668 0.669 0.337
0.332 0.331 0.663
0.000 0.000 0.000

2.
AcPr2Y2 | Alexandria | PBE-GGA | relaxed; calculated formation energy = 0.1234 eV/atom; D(E_F) = 1.224 states/eV per atom; space-group type = C2/c (15); total magnetic moment = 0.00 μB/f.u.; energy above the most stable polymorph in this dataset = 0.000 eV per formula unit
1.0
6.247 0.858 -1.506
-1.817 5.950 -1.824
-0.214 -0.759 9.738
Y Pr Ac
4 4 2
direct
0.275 0.652 0.037
0.725 0.348 0.963
0.385 0.262 0.537
0.615 0.738 0.463
0.290 0.226 0.156
0.930 0.366 0.656
0.070 0.634 0.344
0.710 0.774 0.844
0.804 0.054 0.250
0.196 0.946 0.750